# 1
{"formula": "K2LiOs", "functional": "GGA-PBEsol", "state": "relaxed", "lattice_angstrom": [[4.3822, 0.0000, 0.0000], [0.0000, 4.3822, 0.0000], [0.0000, 0.0000, 5.2000]], "species": ["K", "K", "Li", "Os"], "fractional_positions": [[0.0000, 0.5000, 0.0000], [0.5000, 0.0000, 0.0000], [0.0000, 0.0000, 0.5000], [0.5000, 0.5000, 0.5000]], "sg": "P4/mmm", "e_above_lowest_polymorph_ev_per_atom": 0.367, "crystal_system": "tetragonal", "ef_mev_per_atom": 1434}

=====

# 2
{"formula": "KLiOs2", "functional": "GGA-PBEsol", "state": "relaxed", "lattice_angstrom": [[1.3938, 0.8047, 10.5371], [-1.3938, 0.8047, 10.5371], [0.0000, -1.6094, 10.5371]], "species": ["K", "Li", "Os", "Os"], "fractional_positions": [[0.0000, 0.0000, 0.0000], [0.7724, 0.7724, 0.7724], [0.2413, 0.2413, 0.2413], [0.5106, 0.5106, 0.5106]], "sg": "R3m", "e_above_lowest_polymorph_ev_per_atom": 0.000, "crystal_system": "trigonal", "ef_mev_per_atom": 758}

=====

# 3
{"formula": "K2LiOs", "functional": "GGA-PBEsol", "state": "relaxed", "lattice_angstrom": [[3.0016, -5.4858, 0.0000], [3.0016, 5.4858, 0.0000], [-0.3204, 0.0000, 2.7029]], "species": ["K", "K", "Li", "Os"], "fractional_positions": [[0.0000, 0.5000, 0.0000], [0.5000, 0.0000, 0.0000], [0.0000, 0.0000, 0.5000], [0.5000, 0.5000, 0.5000]], "sg": "C2/m", "e_above_lowest_polymorph_ev_per_atom": 0.063, "crystal_system": "monoclinic", "ef_mev_per_atom": 1129}

=====

# 4
{"formula": "K2LiOs", "functional": "GGA-PBEsol", "state": "relaxed", "lattice_angstrom": [[2.8274, 0.0000, 0.0000], [0.0000, 2.8274, 0.0000], [0.0000, 0.0000, 12.0384]], "species": ["K", "K", "Li", "Os"], "fractional_positions": [[0.0000, 0.0000, 0.2158], [0.0000, 0.0000, 0.7842], [0.5000, 0.5000, 0.5000], [0.5000, 0.5000, 0.0000]], "sg": "P4/mmm", "e_above_lowest_polymorph_ev_per_atom": 0.000, "crystal_system": "tetragonal", "ef_mev_per_atom": 1067}

=====

# 5
{"formula": "K2LiOs", "functional": "GGA-PBEsol", "state": "relaxed", "lattice_angstrom": [[-2.0834, 2.0834, 10.9420], [2.0834, -2.0834, 10.9420], [2.0834, 2.0834, -10.9420]], "species": ["K", "K", "K", "K", "Li", "Li", "Os", "Os"], "fractional_positions": [[0.1224, 0.6250, 0.9974], [0.3750, 0.3724, 0.4974], [0.6276, 0.1250, 0.0026], [0.8750, 0.8776, 0.5026], [0.0000, 0.0000, 0.0000], [0.7500, 0.2500, 0.5000], [0.2500, 0.7500, 0.5000], [0.5000, 0.5000, 0.0000]], "sg": "I-42d", "e_above_lowest_polymorph_ev_per_atom": 0.454, "crystal_system": "tetragonal", "ef_mev_per_atom": 1520}

=====

# 6
{"formula": "KLiOs2", "functional": "GGA-PBEsol", "state": "relaxed", "lattice_angstrom": [[1.4365, -2.3228, 0.0000], [1.4365, 2.3228, 0.0000], [0.0000, 0.0000, 10.5869]], "species": ["K", "Li", "Os", "Os"], "fractional_positions": [[0.0000, 0.0000, 0.0000], [0.5000, 0.5000, 0.3225], [0.0000, 0.0000, 0.5332], [0.5000, 0.5000, 0.7339]], "sg": "Cmm2", "e_above_lowest_polymorph_ev_per_atom": 0.138, "crystal_system": "orthorhombic", "ef_mev_per_atom": 896}

=====

# 7
{"formula": "KLiP2", "functional": "GGA-PBEsol", "state": "relaxed", "lattice_angstrom": [[3.5652, 0.0000, 0.0000], [0.0000, 3.5652, 0.0000], [0.0000, 0.0000, 6.4654]], "species": ["K", "Li", "P", "P"], "fractional_positions": [[0.0000, 0.0000, 0.0000], [0.0000, 0.0000, 0.5000], [0.5000, 0.5000, 0.3418], [0.5000, 0.5000, 0.6582]], "sg": "P4/mmm", "crystal_system": "tetragonal", "ef_mev_per_atom": -392}

=====

# 8
{"formula": "KLiP2", "functional": "GGA-PBEsol", "state": "relaxed", "lattice_angstrom": [[0.0000, 3.3960, 3.3960], [3.3960, 0.0000, 3.3960], [3.3960, 3.3960, 0.0000]], "species": ["K", "Li", "P", "P"], "fractional_positions": [[0.0000, 0.0000, 0.0000], [0.5000, 0.5000, 0.5000], [0.2500, 0.2500, 0.2500], [0.7500, 0.7500, 0.7500]], "sg": "Fm-3m", "crystal_system": "cubic", "ef_mev_per_atom": 290}

=====

# 9
{"formula": "KLiP2", "functional": "GGA-PBEsol", "state": "relaxed", "lattice_angstrom": [[4.3301, -1.6695, 0.0000], [4.3301, 1.6695, 0.0000], [-1.1861, 0.0000, 5.9824]], "species": ["K", "Li", "P", "P"], "fractional_positions": [[0.0000, 0.0000, 0.0000], [0.5000, 0.5000, 0.5000], [0.2422, 0.2422, 0.6211], [0.7578, 0.7578, 0.3789]], "sg": "C2/m", "crystal_system": "monoclinic", "ef_mev_per_atom": -423}

=====

# 10
{"formula": "KLiP2", "functional": "GGA-PBEsol", "state": "relaxed", "lattice_angstrom": [[3.9605, 0.0000, 0.0000], [0.0000, 3.9605, 0.0000], [0.0000, 0.0000, 4.6203]], "species": ["K", "Li", "P", "P"], "fractional_positions": [[0.0000, 0.0000, 0.0000], [0.5000, 0.5000, 0.0000], [0.0000, 0.5000, 0.5000], [0.5000, 0.0000, 0.5000]], "sg": "P4/mmm", "crystal_system": "tetragonal", "ef_mev_per_atom": 53}

=====

# 11
{"formula": "KLiP2S", "functional": "GGA-PBEsol", "state": "relaxed", "lattice_angstrom": [[5.2359, 0.0000, 0.0000], [0.0000, 5.2359, 0.0000], [0.0000, 0.0000, 5.3502]], "species": ["K", "Li", "P", "P", "S"], "fractional_positions": [[0.0000, 0.0000, 0.0000], [0.5000, 0.5000, 0.5000], [0.0000, 0.5000, 0.0000], [0.5000, 0.0000, 0.0000], [0.0000, 0.0000, 0.5000]], "sg": "P4/mmm", "formation_energy_uncorrected_ev_per_atom": 1.345, "crystal_system": "tetragonal"}

=====

# 12
{"formula": "KLi2Pb", "functional": "GGA-PBEsol", "state": "relaxed", "lattice_angstrom": [[2.4177, 1.3959, 5.9049], [-2.4177, 1.3959, 5.9049], [0.0000, -2.7918, 5.9049]], "species": ["K", "Li", "Li", "Pb"], "fractional_positions": [[0.0000, 0.0000, 0.0000], [0.1928, 0.1928, 0.1928], [0.8072, 0.8072, 0.8072], [0.5000, 0.5000, 0.5000]], "sg": "R-3m", "crystal_system": "trigonal", "ef_mev_per_atom": -171}

=====

# 13
{"formula": "KLi2Pb", "functional": "GGA-PBEsol", "state": "relaxed", "lattice_angstrom": [[-2.3338, 2.3338, 5.0546], [2.3338, -2.3338, 5.0546], [2.3338, 2.3338, -5.0546]], "species": ["K", "Li", "Li", "Pb"], "fractional_positions": [[0.0000, 0.0000, 0.0000], [0.5000, 0.5000, 0.0000], [0.7500, 0.2500, 0.5000], [0.2500, 0.7500, 0.5000]], "sg": "I-4m2", "crystal_system": "tetragonal", "ef_mev_per_atom": -41}

=====

# 14
{"formula": "KLiPt4", "functional": "GGA-PBEsol", "state": "relaxed", "lattice_angstrom": [[0.0000, 3.7643, 3.7643], [3.7643, 0.0000, 3.7643], [3.7643, 3.7643, 0.0000]], "species": ["K", "Li", "Pt", "Pt", "Pt", "Pt"], "fractional_positions": [[0.0000, 0.0000, 0.0000], [0.2500, 0.2500, 0.2500], [0.1259, 0.6247, 0.6247], [0.6247, 0.1259, 0.6247], [0.6247, 0.6247, 0.1259], [0.6247, 0.6247, 0.6247]], "sg": "F-43m", "crystal_system": "cubic", "ef_mev_per_atom": -216}

=====

# 15
{"formula": "K2LiPt", "functional": "GGA-PBEsol", "state": "relaxed", "lattice_angstrom": [[0.0000, 3.6978, 3.6978], [3.6978, 0.0000, 3.6978], [3.6978, 3.6978, 0.0000]], "species": ["K", "K", "Li", "Pt"], "fractional_positions": [[0.0000, 0.0000, 0.0000], [0.2500, 0.2500, 0.2500], [0.5000, 0.5000, 0.5000], [0.7500, 0.7500, 0.7500]], "sg": "F-43m", "e_above_lowest_polymorph_ev_per_atom": 0.000, "crystal_system": "cubic", "ef_mev_per_atom": 180}

=====

# 16
{"formula": "KLiPt2", "functional": "GGA-PBEsol", "state": "relaxed", "lattice_angstrom": [[2.7626, -4.9776, 0.0000], [2.7626, 4.9776, 0.0000], [-1.2730, 0.0000, 2.4635]], "species": ["K", "Li", "Pt", "Pt"], "fractional_positions": [[0.0000, 0.0000, 0.0000], [0.5000, 0.5000, 0.0000], [0.0000, 0.5000, 0.5000], [0.5000, 0.0000, 0.5000]], "sg": "C2/m", "e_above_lowest_polymorph_ev_per_atom": 0.000, "crystal_system": "monoclinic", "ef_mev_per_atom": 29}

=====

# 17
{"formula": "KLi2Pt2", "functional": "GGA-PBEsol", "state": "relaxed", "lattice_angstrom": [[8.0133, 0.0000, 0.0000], [0.0000, 8.0133, 0.0000], [0.0000, 0.0000, 2.6649]], "species": ["K", "K", "Li", "Li", "Li", "Li", "Pt", "Pt", "Pt", "Pt"], "fractional_positions": [[0.0000, 0.0000, 0.0000], [0.5000, 0.5000, 0.0000], [0.1250, 0.3750, 0.0000], [0.3750, 0.8750, 0.0000], [0.6250, 0.1250, 0.0000], [0.8750, 0.6250, 0.0000], [0.1625, 0.6625, 0.5000], [0.3375, 0.1625, 0.5000], [0.6625, 0.8375, 0.5000], [0.8375, 0.3375, 0.5000]], "sg": "P4/mbm", "crystal_system": "tetragonal", "ef_mev_per_atom": -221}

=====

# 18
{"formula": "KLiPt2", "functional": "GGA-PBEsol", "state": "relaxed", "lattice_angstrom": [[2.6818, 0.0000, 0.0000], [0.0000, 4.0986, 0.0000], [0.0000, 0.0000, 6.9098]], "species": ["K", "Li", "Pt", "Pt"], "fractional_positions": [[0.0000, 0.0000, 0.0000], [0.0000, 0.0000, 0.5000], [0.5000, 0.5000, 0.3155], [0.5000, 0.5000, 0.6845]], "sg": "Pmmm", "e_above_lowest_polymorph_ev_per_atom": 0.021, "crystal_system": "orthorhombic", "ef_mev_per_atom": 49}

=====

# 19
{"formula": "K2LiPt", "functional": "GGA-PBEsol", "state": "relaxed", "lattice_angstrom": [[3.3168, 0.0000, 0.0000], [0.0000, 3.3168, 0.0000], [0.0000, 0.0000, 10.9297]], "species": ["K", "K", "Li", "Pt"], "fractional_positions": [[0.0000, 0.0000, 0.1907], [0.0000, 0.0000, 0.8093], [0.5000, 0.5000, 0.5000], [0.5000, 0.5000, 0.0000]], "sg": "P4/mmm", "e_above_lowest_polymorph_ev_per_atom": 0.101, "crystal_system": "tetragonal", "ef_mev_per_atom": 281}

=====

# 20
{"formula": "KRb2Li2", "functional": "GGA-PBEsol", "state": "relaxed", "lattice_angstrom": [[9.7327, 0.0000, 0.0000], [0.0000, 9.7327, 0.0000], [0.0000, 0.0000, 5.8739]], "species": ["K", "K", "Rb", "Rb", "Rb", "Rb", "Li", "Li", "Li", "Li"], "fractional_positions": [[0.0000, 0.0000, 0.0000], [0.5000, 0.5000, 0.0000], [0.1737, 0.3263, 0.5000], [0.3263, 0.8263, 0.5000], [0.6737, 0.1737, 0.5000], [0.8263, 0.6737, 0.5000], [0.1114, 0.6114, 0.0000], [0.3886, 0.1114, 0.0000], [0.6114, 0.8886, 0.0000], [0.8886, 0.3886, 0.0000]], "sg": "P4/mbm", "crystal_system": "tetragonal", "ef_mev_per_atom": 143}